Record 1
Here is a geometry-optimized TaAg2Au structure from the Alexandria database. Energies are from GGA-PBE.

a = 2.779 Å, b = 4.970 Å, c = 5.177 Å
α = 90.00°, β = 92.29°, γ = 90.00°
Positions (direct):
Ta 0.000 0.000 0.000
Ag 0.288 0.500 0.755
Ag 0.712 0.500 0.245
Au 0.500 0.000 0.500

Summary:
energy above the lowest structure with this stoichiometry = 0.115 eV per atom
volume = 71.43 Å³ per cell
SG = P2/m, No. 10


Record 2
Here is a geometry-optimized LiMgCu2 structure from the Alexandria database. Energies are from GGA-PBE.

a = 8.762 Å, b = 8.762 Å, c = 8.762 Å
α = 18.42°, β = 18.42°, γ = 18.42°
Positions (direct):
Li 0.000 0.000 0.000
Mg 0.500 0.500 0.500
Cu 0.252 0.252 0.252
Cu 0.748 0.748 0.748

Summary:
volume = 58.64 Å³ per cell
SG = R-3m, No. 166


Record 3
Here is a geometry-optimized ScCdP2 structure from the Alexandria database. Energies are from GGA-PBE.

a = 8.227 Å, b = 8.227 Å, c = 8.227 Å
α = 23.32°, β = 23.32°, γ = 23.32°
Positions (direct):
Sc 0.000 0.000 0.000
Cd 0.767 0.767 0.767
P 0.249 0.249 0.249
P 0.527 0.527 0.527

Summary:
volume = 76.61 Å³ per cell
SG = R3m, No. 160


Record 4
Here is a geometry-optimized MgVFe3 structure from the Alexandria database. Energies are from GGA-PBE.

a = 4.305 Å, b = 4.305 Å, c = 4.305 Å
α = 90.00°, β = 90.00°, γ = 90.00°
Positions (direct):
Mg 0.000 0.000 0.000
V 0.500 0.500 0.500
Fe 0.000 0.500 0.500
Fe 0.500 0.000 0.500
Fe 0.500 0.500 0.000

Summary:
energy above the lowest structure with this stoichiometry = 0.000 eV per atom
volume = 79.78 Å³ per cell
SG = Pm-3m, No. 221


Number 1: DFT total energy -5.00 eV per atom, calculated formation energy 0.206 eV/atom. Number 2: DFT total energy -2.87 eV per atom, calculated formation energy 0.052 eV/atom. Number 3: DFT total energy -4.59 eV per atom, calculated formation energy -0.078 eV/atom. Number 4: DFT total energy -6.38 eV per atom, calculated formation energy 0.841 eV/atom.